(1)
A geometry-optimized La2BeGa3Au4 structure. Source: Alexandria via LeMat-Bulk, functional GGA-PBE.

Cell lengths 4.4631, 4.4631, 10.3352 Å; angles 90.00, 90.00, 90.00 degrees
With the nearest neighbours (Å) after each atom.
Sites, in units of the cell vectors:
Be 0.5000 0.5000 0.5000  4 Au 2.54
Ga 0.0000 0.0000 0.5000  4 Au 2.54
La 0.0000 0.5000 0.7422  2 Be 3.35, 6 Ga 3.35-3.40, 9 Au 3.41-3.72
Ga 0.5000 0.0000 0.8634  5 Au 2.54-2.64
Au 0.5000 0.5000 0.0000  4 Ga 2.64
Au 0.0000 0.0000 0.0000  4 Ga 2.64
Ga 0.0000 0.5000 0.1366  5 Au 2.54-2.64
Au 0.5000 0.0000 0.6175  2 Be 2.54, 3 Ga 2.54
Au 0.0000 0.5000 0.3825  2 Be 2.54, 3 Ga 2.54
La 0.5000 0.0000 0.2578  6 Ga 3.35-3.40, 2 Be 3.35, 9 Au 3.41-3.72

Energy relative to the elements in eV/atom: -0.61
Raw total energy in eV/atom: -4.19

=====

(2)
A geometry-optimized LaBe2GaAu4 structure. Source: Alexandria via LeMat-Bulk, functional GGA-PBE.

Cell lengths 4.1939, 4.1939, 10.0369 Å; angles 77.94, 77.94, 60.00 degrees
With the nearest neighbours (Å) after each atom.
Sites, in units of the cell vectors:
Au 0.1243 0.1243 0.6272  3 Be 2.62, 3 Ga 2.72, 3 Au 2.93
La 0.0000 0.0000 0.0000  6 Au 3.13
Au 0.5986 0.5986 0.2041  3 Be 2.51
Be 0.2433 0.2433 0.2702  6 Au 2.51-2.62
Au 0.4014 0.4014 0.7959  3 Be 2.51
Ga 0.5000 0.5000 0.5000  8 Au 2.72-2.88
Be 0.7567 0.7567 0.7298  6 Au 2.51-2.62
Au 0.8757 0.8757 0.3728  3 Be 2.62, 3 Ga 2.72, 3 Au 2.93

Energy relative to the elements in eV/atom: -0.28
Raw total energy in eV/atom: -3.84

=====

(3)
A geometry-optimized LaBeGaAu2 structure. Source: Alexandria via LeMat-Bulk, functional GGA-PBE.

Cell lengths 4.6987, 4.6987, 4.5712 Å; angles 90.00, 90.00, 90.00 degrees
With the nearest neighbours (Å) after each atom.
Sites, in units of the cell vectors:
Ga 0.0000 0.0000 0.5000  2 Be 2.29
Au 0.0000 0.5000 0.0000  2 Be 2.35
Be 0.0000 0.0000 0.0000  2 Ga 2.29, 4 Au 2.35
La 0.5000 0.5000 0.5000  8 Au 3.28, 4 Ga 3.32
Au 0.5000 0.0000 0.0000  2 Be 2.35

Energy relative to the elements in eV/atom: -0.41
Raw total energy in eV/atom: -4.05